First-principles (GGA-PBE) data for an optimized crystal structure of CsAcPt10, as listed in the Alexandria database.

```
CsAcPt10
1.0
4.3421 0.0000 0.0000
0.0000 5.6653 0.0000
0.0000 0.0000 9.7100
Cs Ac Pt
1 1 10
Direct
0.0000 0.0000 0.0000
0.0000 0.5000 0.5000
0.0000 0.0000 0.3360
0.0000 0.0000 0.6640
0.0000 0.5000 0.1696
0.0000 0.5000 0.8304
0.5000 0.0000 0.5000
0.5000 0.2560 0.2600
0.5000 0.2560 0.7400
0.5000 0.5000 0.0000
0.5000 0.7440 0.2600
0.5000 0.7440 0.7400
```

- energy of formation (meV per atom) = -370
- SG = No. 47
- theoretical density (g cm⁻³) = 16.06
- crystal system = orthorhombic

---

First-principles (GGA-PBE) data for an optimized crystal structure of CsAcPt, as listed in the Alexandria database.

```
CsAcPt
1.0
4.6582 0.0000 0.0000
0.0000 6.0281 0.0000
0.0000 0.0000 11.3009
Cs Ac Pt
2 2 2
Direct
0.2500 0.2500 0.1632
0.7500 0.7500 0.8368
0.2500 0.2500 0.5642
0.7500 0.7500 0.4358
0.2500 0.7500 0.6025
0.7500 0.2500 0.3975
```

- energy of formation (meV per atom) = -603
- SG = No. 59
- theoretical density (g cm⁻³) = 5.81
- crystal system = orthorhombic